1.
Density functional theory data (PBE-GGA) for an optimized crystal structure of MgTlSi2Ru.

**SG**: P4/mmm, No. 123
**Crystal system**: tetragonal
**Energy relative to the elements, uncorrected**: 1.776 eV per atom

```
MgTlSi2Ru
1.0
5.0915 0.0000 0.0000
0.0000 5.0900 0.0000
0.0000 0.0000 5.0915
Tl Ru Si Mg
1 1 2 1
Direct
0.0000 0.0000 0.0000
0.5000 0.5000 0.5000
0.0000 0.0000 0.5000
0.5000 0.0000 0.0000
0.0000 0.5000 0.0000
```

2.
Density functional theory data (PBE-GGA) for an optimized crystal structure of Tm2MgSi2Ru5.

**SG**: P4/mbm, No. 127
**Crystal system**: tetragonal
**Energy relative to the elements, uncorrected**: -0.553 eV per atom

```
Tm2MgSi2Ru5
1.0
3.2925 0.0000 0.0000
0.0000 9.9206 0.0000
0.0000 0.0000 9.9206
Ru Si Mg Tm
10 4 2 4
Direct
0.5000 0.0700 0.7897
0.5000 0.5000 0.0000
0.5000 0.7897 0.9300
0.5000 0.2897 0.5700
0.5000 0.4300 0.2897
0.5000 0.7103 0.4300
0.5000 0.0000 0.5000
0.5000 0.9300 0.2103
0.5000 0.5700 0.7103
0.5000 0.2103 0.0700
0.0000 0.6283 0.8717
0.0000 0.3717 0.1283
0.0000 0.8717 0.3717
0.0000 0.1283 0.6283
0.0000 0.5000 0.5000
0.0000 0.0000 0.0000
0.0000 0.6721 0.1721
0.0000 0.1721 0.3279
0.0000 0.3279 0.8279
0.0000 0.8279 0.6721
```

3.
Density functional theory data (PBE-GGA) for an optimized crystal structure of Mg2VSi2Ru5.

**SG**: P4/mbm, No. 127
**Crystal system**: tetragonal
**Energy relative to the elements, uncorrected**: -0.323 eV per atom

```
Mg2VSi2Ru5
1.0
3.0918 0.0000 0.0000
0.0000 9.7682 0.0000
0.0000 0.0000 9.7682
Si Ru V Mg
4 10 2 4
Direct
0.0000 0.3698 0.1302
0.0000 0.6302 0.8698
0.0000 0.1302 0.6302
0.0000 0.8698 0.3698
0.5000 0.9309 0.1965
0.5000 0.8035 0.9309
0.5000 0.5000 0.0000
0.5000 0.1965 0.0691
0.5000 0.5691 0.6965
0.5000 0.0691 0.8035
0.5000 0.4309 0.3035
0.5000 0.6965 0.4309
0.5000 0.3035 0.5691
0.5000 0.0000 0.5000
0.0000 0.0000 0.0000
0.0000 0.5000 0.5000
0.0000 0.3291 0.8291
0.0000 0.6709 0.1709
0.0000 0.8291 0.6709
0.0000 0.1709 0.3291
```

4.
Density functional theory data (PBE-GGA) for an optimized crystal structure of MgSiRu2W.

**SG**: P4/mmm, No. 123
**Crystal system**: tetragonal
**Energy relative to the elements, uncorrected**: 1.552 eV per atom

```
MgSiRu2W
1.0
-3.2182 2.6358 2.0699
-1.9577 -4.1219 2.2050
2.8303 0.6005 3.6356
W Ru Mg Si
1 2 1 1
Direct
0.0000 0.0000 0.0000
0.5000 0.0000 0.0000
0.0000 0.0000 0.5000
0.0000 0.5000 0.0000
0.5000 0.5000 0.5000
```

5.
Density functional theory data (PBE-GGA) for an optimized crystal structure of MgZnSiRu2.

**SG**: P4/mmm, No. 123
**Crystal system**: tetragonal
**Energy relative to the elements, uncorrected**: 0.352 eV per atom

```
MgZnSiRu2
1.0
4.4500 0.0000 0.0000
0.0000 4.4217 0.0000
0.0000 0.0000 4.4500
Ru Zn Mg Si
2 1 1 1
Direct
0.0000 0.0000 0.5000
0.5000 0.0000 0.0000
0.0000 0.5000 0.0000
0.5000 0.5000 0.5000
0.0000 0.0000 0.0000
```

6.
Density functional theory data (PBE-GGA) for an optimized crystal structure of MgZr2Si2Ru5.

**SG**: P4/mbm, No. 127
**Crystal system**: tetragonal
**Energy relative to the elements, uncorrected**: -0.589 eV per atom

```
MgZr2Si2Ru5
1.0
3.2858 0.0000 0.0000
0.0000 9.7466 0.0000
0.0000 0.0000 9.7466
Si Mg Zr Ru
4 2 4 10
Direct
0.0000 0.6275 0.8725
0.0000 0.3725 0.1275
0.0000 0.1275 0.6275
0.0000 0.8725 0.3725
0.0000 0.0000 0.0000
0.0000 0.5000 0.5000
0.0000 0.3269 0.8269
0.0000 0.8269 0.6731
0.0000 0.1731 0.3269
0.0000 0.6731 0.1731
0.5000 0.5678 0.7107
0.5000 0.0678 0.7893
0.5000 0.7107 0.4322
0.5000 0.9322 0.2107
0.5000 0.2107 0.0678
0.5000 0.0000 0.5000
0.5000 0.2893 0.5678
0.5000 0.5000 0.0000
0.5000 0.7893 0.9322
0.5000 0.4322 0.2893
```

7.
Density functional theory data (PBE-GGA) for an optimized crystal structure of Sm2MgRu.

**Energy above the lowest structure with this stoichiometry**: 173.9 meV per atom
**SG**: R-3m, No. 166
**Energy of formation**: -0.022 eV/atom
**Crystal system**: trigonal

```
Sm2MgRu
1.0
-2.3280 -2.9021 -1.1012
-0.0182 -3.3329 1.9865
-7.1336 1.0484 5.4828
Mg Ru Sm
1 1 2
Direct
0.5000 0.5000 0.5000
0.0000 0.0000 0.0000
0.7293 0.7293 0.8121
0.2707 0.2707 0.1879
```

8.
Density functional theory data (PBE-GGA) for an optimized crystal structure of Sm2MgRu.

**Energy above the lowest structure with this stoichiometry**: 0.0 meV per atom
**SG**: Pnma, No. 62
**Energy of formation**: -0.196 eV/atom
**Crystal system**: orthorhombic

```
Sm2MgRu
1.0
7.4327 0.0000 0.0000
0.0000 7.5879 0.0000
0.0000 0.0000 7.5979
Ru Sm Mg
4 8 4
Direct
0.0625 0.3668 0.6343
0.0625 0.1332 0.1343
0.5625 0.6332 0.3657
0.5625 0.8668 0.8657
0.3153 0.8365 0.1635
0.3153 0.6635 0.6635
0.8098 0.6636 0.6635
0.8153 0.1635 0.8365
0.8098 0.8364 0.1635
0.3098 0.3364 0.3365
0.8153 0.3365 0.3365
0.3098 0.1636 0.8365
0.5626 0.9815 0.5065
0.5626 0.5185 0.0065
0.0626 0.0185 0.4935
0.0626 0.4815 0.9935
```

9.
Density functional theory data (PBE-GGA) for an optimized crystal structure of Sm4Mg5Ru2.

**SG**: P2/m, No. 10
**Energy of formation**: -0.143 eV/atom
**Crystal system**: monoclinic

```
Sm4Mg5Ru2
1.0
-2.5014 -2.2157 -1.7136
5.0155 -6.0313 0.4775
-4.2689 -1.8672 8.6459
Ru Sm Mg
2 4 5
Direct
0.0000 0.0758 0.6469
0.0000 0.9242 0.3531
0.5000 0.2046 0.4474
0.5000 0.8268 0.1543
0.5000 0.1732 0.8457
0.5000 0.7954 0.5526
0.0000 0.5536 0.3286
0.0000 0.8235 0.8441
0.0000 0.1765 0.1559
0.0000 0.5000 0.0000
0.0000 0.4464 0.6714
```

10.
Density functional theory data (PBE-GGA) for an optimized crystal structure of Sm5Mg2Ru2.

**SG**: Ima2, No. 46
**Energy of formation**: -0.052 eV/atom
**Crystal system**: orthorhombic

```
Sm5Mg2Ru2
1.0
-5.0146 -6.8645 2.1811
3.6351 -3.9272 -4.0025
5.8063 3.6721 7.2490
Mg Sm Ru
4 10 4
Direct
0.5677 0.0781 0.2110
0.4323 0.8671 0.7890
0.1433 0.5781 0.2110
0.8567 0.3671 0.7890
0.9550 0.3423 0.5000
0.7411 0.7962 0.6937
0.1679 0.1239 0.9251
0.8321 0.1988 0.0749
0.2589 0.1025 0.3063
0.7428 0.6988 0.0749
0.2572 0.6239 0.9251
0.0450 0.8423 0.5000
0.4526 0.2962 0.6937
0.5474 0.6025 0.3063
0.7510 0.0198 0.5000
0.0000 0.8071 0.0000
0.5000 0.3071 0.0000
0.2490 0.5198 0.5000
```

11.
Density functional theory data (PBE-GGA) for an optimized crystal structure of Sm6MgRu.

**SG**: C2/m, No. 12
**Energy of formation**: 0.074 eV/atom
**Crystal system**: monoclinic

```
Sm6MgRu
1.0
-0.5850 -5.0028 -4.0523
-4.6654 -5.3649 2.8044
-6.7323 -0.1554 -1.0825
Ru Sm Mg
1 6 1
Direct
0.5000 0.5000 0.0000
0.2868 0.2645 0.0000
0.2507 0.4835 0.3922
0.7493 0.5165 0.6078
0.2507 0.8757 0.6078
0.7132 0.7355 0.0000
0.7493 0.1243 0.3922
0.0000 0.0000 0.0000
```

12.
Density functional theory data (PBE-GGA) for an optimized crystal structure of Sm2MgRu.

**Energy above the lowest structure with this stoichiometry**: 85.2 meV per atom
**SG**: Fm-3m, No. 225
**Energy of formation**: -0.110 eV/atom
**Crystal system**: cubic

```
Sm2MgRu
1.0
-4.8029 0.8951 1.5424
-2.7714 -3.7783 2.0716
-1.1111 0.0833 5.0007
Mg Sm Ru
1 2 1
Direct
0.5000 0.5000 0.5000
0.2500 0.2500 0.2500
0.7500 0.7500 0.7500
0.0000 0.0000 0.0000
```